Entry 1:
Compound: Cs5Tl12In2
Source: Alexandria
Functional: PBE-GGA
Structure: relaxed

The structure in CIF format:
```
data_Cs5Tl12In2
_chemical_formula_sum 'Cs10 Tl24 In4'
_space_group_name_H-M_alt 'C 1 2/m 1'
_space_group_IT_number 12
_space_group_name_Hall '-C 2y'
_cell_length_a 22.6751
_cell_length_b 8.6051
_cell_length_c 7.9615
_cell_angle_alpha 90.00
_cell_angle_beta 98.30
_cell_angle_gamma 90.00
loop_
_atom_site_label
_atom_site_fract_x
_atom_site_fract_y
_atom_site_fract_z
Cs1 0.0000 0.0000 0.0000
Cs2 0.1942 0.5000 0.5598
Cs3 0.2316 0.0000 0.8891
Tl1 0.0436 0.5000 0.1932
Tl2 0.0803 0.0000 0.5748
Tl3 0.0993 0.3160 0.8653
Tl4 0.1384 0.1839 0.2559
In1 0.0000 0.3043 0.5000
```

Results
Volume ... 769 Å³/f.u.
Energy relative to the elements ... -0.022 eV/atom


Entry 2:
Compound: Ac8Co4S
Source: Alexandria
Functional: PBE-GGA
Structure: relaxed

The structure in CIF format:
```
data_Ac8Co4S
_chemical_formula_sum 'Ac16 Co8 S2'
_space_group_name_H-M_alt 'C 1 m 1'
_space_group_IT_number 8
_space_group_name_Hall 'C -2y'
_cell_length_a 20.8747
_cell_length_b 4.2491
_cell_length_c 14.2895
_cell_angle_alpha 90.00
_cell_angle_beta 133.12
_cell_angle_gamma 90.00
loop_
_atom_site_label
_atom_site_fract_x
_atom_site_fract_y
_atom_site_fract_z
Ac1 0.0000 0.0000 0.0000
Ac2 0.0069 0.0000 0.7265
Ac3 0.1124 0.5000 0.6138
Ac4 0.1934 0.5000 0.0420
Ac5 0.3022 0.0000 0.9329
Ac6 0.3120 0.0000 0.6703
Ac7 0.3600 0.0000 0.3899
Ac8 0.4510 0.5000 0.2609
Co1 0.0066 0.5000 0.8554
Co2 0.2999 0.5000 0.7933
Co3 0.3102 0.0000 0.1457
Co4 0.4910 0.5000 0.5107
S1 0.0029 0.5000 0.1596
```

Results
Volume ... 463 Å³/f.u.
Uncorrected formation energy ... -5.49 kcal/mol of atoms


Entry 3:
Compound: KTlPdAu2
Source: Alexandria
Functional: PBE-GGA
Structure: relaxed

The structure in CIF format:
```
data_KTlPdAu2
_chemical_formula_sum 'K1 Tl1 Pd1 Au2'
_space_group_name_H-M_alt 'P 4/m m m'
_space_group_IT_number 123
_space_group_name_Hall '-P 4 2'
_cell_length_a 5.3315
_cell_length_b 5.3315
_cell_length_c 5.1521
_cell_angle_alpha 90.00
_cell_angle_beta 90.00
_cell_angle_gamma 90.00
loop_
_atom_site_label
_atom_site_fract_x
_atom_site_fract_y
_atom_site_fract_z
K1 0.0000 0.0000 0.0000
Tl1 0.5000 0.5000 0.0000
Pd1 0.5000 0.5000 0.5000
Au1 0.0000 0.5000 0.5000
```

Results
Volume ... 146 Å³/f.u.
Energy relative to the elements ... -0.068 eV/atom


Entry 4:
Compound: Ac2Ag4Sn3Pb
Source: Alexandria
Functional: PBE-GGA
Structure: relaxed

The structure in CIF format:
```
data_Ac2Ag4Sn3Pb
_chemical_formula_sum 'Ac2 Ag4 Sn3 Pb1'
_space_group_name_H-M_alt 'P -4 m 2'
_space_group_IT_number 115
_space_group_name_Hall 'P -4 -2'
_cell_length_a 4.7534
_cell_length_b 4.7534
_cell_length_c 11.7614
_cell_angle_alpha 90.00
_cell_angle_beta 90.00
_cell_angle_gamma 90.00
loop_
_atom_site_label
_atom_site_fract_x
_atom_site_fract_y
_atom_site_fract_z
Ac1 0.0000 0.5000 0.2362
Ag1 0.0000 0.0000 0.0000
Ag2 0.0000 0.5000 0.6427
Ag3 0.5000 0.5000 0.0000
Sn1 0.0000 0.5000 0.8716
Sn2 0.5000 0.5000 0.5000
Pb1 0.0000 0.0000 0.5000
```

Results
Volume ... 266 Å³/f.u.
Energy relative to the elements ... -0.395 eV/atom


Entry 5:
Compound: PmY3O
Source: Alexandria
Functional: PBE-GGA
Structure: relaxed

The structure in CIF format:
```
data_PmY3O
_chemical_formula_sum 'Pm1 Y3 O1'
_space_group_name_H-M_alt 'P m -3 m'
_space_group_IT_number 221
_space_group_name_Hall '-P 4 2 3'
_cell_length_a 4.9899
_cell_length_b 4.9899
_cell_length_c 4.9899
_cell_angle_alpha 90.00
_cell_angle_beta 90.00
_cell_angle_gamma 90.00
loop_
_atom_site_label
_atom_site_fract_x
_atom_site_fract_y
_atom_site_fract_z
Pm1 0.0000 0.0000 0.0000
Y1 0.0000 0.5000 0.5000
O1 0.5000 0.5000 0.5000
```

Results
Energy above the lowest structure with this stoichiometry ... 0.039 eV per atom
Volume ... 124 Å³/f.u.
Uncorrected formation energy ... -24.32 kcal/mol of atoms


Entry 6:
Compound: CrSi3S
Source: Alexandria
Functional: PBE-GGA
Structure: relaxed

The structure in CIF format:
```
data_CrSi3S
_chemical_formula_sum 'Cr1 Si3 S1'
_space_group_name_H-M_alt 'P m -3 m'
_space_group_IT_number 221
_space_group_name_Hall '-P 4 2 3'
_cell_length_a 4.5291
_cell_length_b 4.5291
_cell_length_c 4.5291
_cell_angle_alpha 90.00
_cell_angle_beta 90.00
_cell_angle_gamma 90.00
loop_
_atom_site_label
_atom_site_fract_x
_atom_site_fract_y
_atom_site_fract_z
Cr1 0.0000 0.0000 0.0000
Si1 0.0000 0.0000 0.5000
S1 0.5000 0.5000 0.5000
```

Results
Energy above the lowest structure with this stoichiometry ... 0.000 eV per atom
Volume ... 93 Å³/f.u.
Uncorrected formation energy ... 12.75 kcal/mol of atoms


- Among the records above, which one has the highest volume?
  Cs5Tl12In2


- What is the formula in the second record?
  Ac8Co4S


- Number 5 is which compound?
  PmY3O